# 1
First-principles (GGA-PBE) data for crystalline AcNd2Os at its relaxed geometry, as listed in Alexandria via LeMat-Bulk.

Unit cell a=4.129 b=6.725 c=9.540 alpha=90.00 beta=90.00 gamma=107.88
Atoms (fractional coordinates):
Ac 0.923 0.846 0.250
Ac 0.077 0.154 0.750
Nd 0.350 0.701 0.571
Nd 0.650 0.299 0.429
Nd 0.350 0.701 0.929
Nd 0.650 0.299 0.071
Os 0.749 0.498 0.750
Os 0.251 0.502 0.250

Summary:
energy relative to the lowest polymorph listed for this composition	14.2	meV/atom
space group	Cmcm (63)
energy relative to the elements	-65	meV per atom


# 2
First-principles (GGA-PBE) data for crystalline Ac2Nd2Os at its relaxed geometry, as listed in Alexandria via LeMat-Bulk.

Unit cell a=5.123 b=5.123 c=13.778 alpha=100.72 beta=100.72 gamma=90.00
Atoms (fractional coordinates):
Ac 0.816 0.816 0.632
Ac 0.066 0.566 0.132
Ac 0.434 0.934 0.868
Ac 0.184 0.184 0.368
Nd 0.935 0.435 0.871
Nd 0.685 0.685 0.371
Nd 0.315 0.315 0.629
Nd 0.565 0.065 0.129
Os 0.500 0.500 0.000
Os 0.750 0.250 0.500

Summary:
space group	I4_1/amd (141)
energy relative to the elements	90	meV per atom


# 3
First-principles (GGA-PBE) data for crystalline AcNd2Os at its relaxed geometry, as listed in Alexandria via LeMat-Bulk.

Unit cell a=4.002 b=4.002 c=11.192 alpha=79.70 beta=79.70 gamma=60.00
Atoms (fractional coordinates):
Nd 0.118 0.118 0.647
Nd 0.882 0.882 0.353
Ac 0.000 0.000 0.000
Os 0.500 0.500 0.500

Summary:
energy relative to the lowest polymorph listed for this composition	358.6	meV/atom
space group	R-3m (166)
energy relative to the elements	280	meV per atom


# 4
First-principles (GGA-PBE) data for crystalline AcNd2Os at its relaxed geometry, as listed in Alexandria via LeMat-Bulk.

Unit cell a=6.628 b=7.612 c=9.967 alpha=90.00 beta=90.00 gamma=90.00
Atoms (fractional coordinates):
Ac 0.645 0.545 0.250
Ac 0.855 0.045 0.250
Ac 0.355 0.455 0.750
Ac 0.145 0.955 0.750
Nd 0.170 0.672 0.070
Nd 0.330 0.172 0.430
Nd 0.830 0.328 0.570
Nd 0.670 0.828 0.930
Nd 0.830 0.328 0.930
Nd 0.670 0.828 0.570
Nd 0.170 0.672 0.430
Nd 0.330 0.172 0.070
Os 0.068 0.385 0.250
Os 0.432 0.885 0.250
Os 0.932 0.615 0.750
Os 0.568 0.115 0.750

Summary:
energy relative to the lowest polymorph listed for this composition	0.0	meV/atom
space group	Pnma (62)
energy relative to the elements	-79	meV per atom


# 5
First-principles (GGA-PBE) data for crystalline AcNd2Os at its relaxed geometry, as listed in Alexandria via LeMat-Bulk.

Unit cell a=3.583 b=3.583 c=9.852 alpha=90.00 beta=90.00 gamma=90.00
Atoms (fractional coordinates):
Nd 0.000 0.000 0.828
Nd 0.000 0.000 0.172
Ac 0.500 0.500 0.500
Os 0.500 0.500 0.000

Summary:
energy relative to the lowest polymorph listed for this composition	146.1	meV/atom
space group	P4/mmm (123)
energy relative to the elements	67	meV per atom


# 6
First-principles (GGA-PBE) data for crystalline AcNdP2 at its relaxed geometry, as listed in Alexandria via LeMat-Bulk.

Unit cell a=3.669 b=5.221 c=5.221 alpha=90.00 beta=90.00 gamma=90.00
Atoms (fractional coordinates):
P 0.000 0.000 0.500
P 0.000 0.500 0.000
Ac 0.500 0.000 0.000
Nd 0.500 0.500 0.500

Summary:
energy relative to the lowest polymorph listed for this composition	437.8	meV/atom
space group	P4/mmm (123)
energy relative to the elements	-1045	meV per atom


| no. | DOS(E_F) (states/eV/f.u.) | calculated total energy (eV/atom) |
| --- | --- | --- |
| 1 | 4.611 | -6.283 |
| 2 | 5.907 | -5.707 |
| 3 | 4.848 | -5.939 |
| 4 | 3.968 | -6.297 |
| 5 | 2.926 | -6.151 |
| 6 | 1.604 | -5.969 |